PaVSnO6 | PBE with a Hubbard U | relaxed

CIF file:
```
data_PaVSnO6
_symmetry_space_group_name_H-M 'P -3 1 c'
_symmetry_Int_Tables_number 163
_symmetry_space_group_name_Hall '-P 3 2c'
_cell_length_a 5.5157
_cell_length_b 5.5157
_cell_length_c 9.9983
_cell_angle_alpha 90.00
_cell_angle_beta 90.00
_cell_angle_gamma 120.00
loop_
_atom_site_label
_atom_site_type_symbol
_atom_site_fract_x
_atom_site_fract_y
_atom_site_fract_z
_atom_site_occupancy
Pa1 Pa 0.3333 0.6667 0.2500 1
V1 V 0.3333 0.6667 0.7500 1
Sn1 Sn 0.0000 0.0000 0.0000 1
O1 O 0.0346 0.3868 0.6435 1
```

Results
DFT total energy in eV/atom: -7.938